First-principles (PBE-GGA) data for Th2UPa3As6 after structural relaxation, as listed in Alexandria via LeMat-Bulk.

a = 9.2699 Å, b = 9.2699 Å, c = 8.3071 Å
α = 102.78°, β = 102.78°, γ = 25.82°
With the nearest neighbours (Å) after each atom.
Fractional coordinates of all 12 atoms:
Th: 0.1656 0.1656 0.3328  6 As 2.97-2.99
Th: 0.8344 0.8344 0.6672  6 As 2.97-2.99
U: 0.5000 0.5000 0.0000  6 As 2.93-2.94
Pa: 0.1675 0.1675 0.8356  6 As 2.88-2.92
Pa: 0.5000 0.5000 0.5000  6 As 2.89-2.93
Pa: 0.8325 0.8325 0.1644  6 As 2.88-2.92
As: 0.0034 0.0034 0.7513  3 Pa 2.89-2.93, 2 U 2.94, 1 Th 2.97
As: 0.3337 0.3337 0.9237  3 Pa 2.88-2.92, 1 U 2.93, 2 Th 2.97
As: 0.3356 0.3356 0.4090  3 Pa 2.89, 3 Th 2.99
As: 0.6644 0.6644 0.5910  3 Pa 2.89, 3 Th 2.99
As: 0.6663 0.6663 0.0763  3 Pa 2.88-2.92, 1 U 2.93, 2 Th 2.97
As: 0.9966 0.9966 0.2487  3 Pa 2.89-2.93, 2 U 2.94, 1 Th 2.97

=====

First-principles (PBE-GGA) data for Th2UPaAs4 after structural relaxation, as listed in Alexandria via LeMat-Bulk.

a = 7.2169 Å, b = 4.1617 Å, c = 7.2600 Å
α = 90.00°, β = 109.31°, γ = 90.00°
With the nearest neighbours (Å) after each atom.
Fractional coordinates of all 8 atoms:
Th: 0.0000 0.0000 0.0000  6 As 3.00
Th: 0.5000 0.5000 0.0000  6 As 3.00
U: 0.0000 0.5000 0.5000  6 As 2.91
Pa: 0.5000 0.0000 0.5000  6 As 2.90
As: 0.2463 0.0000 0.7379  1 Pa 2.90, 2 U 2.91, 3 Th 3.00
As: 0.2541 0.5000 0.2619  2 Pa 2.90, 1 U 2.91, 3 Th 3.00
As: 0.7459 0.5000 0.7381  2 Pa 2.90, 1 U 2.91, 3 Th 3.00
As: 0.7537 0.0000 0.2621  1 Pa 2.90, 2 U 2.91, 3 Th 3.00

=====

First-principles (PBE-GGA) data for ThUPa2As4 after structural relaxation, as listed in Alexandria via LeMat-Bulk.

a = 7.1546 Å, b = 4.1268 Å, c = 7.1798 Å
α = 90.00°, β = 109.35°, γ = 90.00°
With the nearest neighbours (Å) after each atom.
Fractional coordinates of all 8 atoms:
Th: 0.0000 0.0000 0.0000  6 As 2.97
U: 0.0000 0.5000 0.5000  6 As 2.92-2.93
Pa: 0.5000 0.0000 0.5000  6 As 2.88
Pa: 0.5000 0.5000 0.0000  6 As 2.92
As: 0.2541 0.0000 0.7464  3 Pa 2.88-2.92, 2 U 2.93, 1 Th 2.97
As: 0.2578 0.5000 0.2578  3 Pa 2.88-2.92, 1 U 2.92, 2 Th 2.97
As: 0.7422 0.5000 0.7422  3 Pa 2.88-2.92, 1 U 2.92, 2 Th 2.97
As: 0.7459 0.0000 0.2536  3 Pa 2.88-2.92, 2 U 2.93, 1 Th 2.97

=====

First-principles (PBE-GGA) data for Y3Th2PaAs6 after structural relaxation, as listed in Alexandria via LeMat-Bulk.

a = 9.2959 Å, b = 9.2959 Å, c = 8.2998 Å
α = 102.55°, β = 102.55°, γ = 25.94°
With the nearest neighbours (Å) after each atom.
Fractional coordinates of all 12 atoms:
Y: 0.0000 0.0000 0.0000  6 As 2.91-2.97
Y: 0.3318 0.3318 0.6662  6 As 2.91-2.95
Y: 0.6682 0.6682 0.3338  6 As 2.91-2.95
Th: 0.3333 0.3333 0.1654  6 As 2.97-2.99
Th: 0.6667 0.6667 0.8346  6 As 2.97-2.99
Pa: 0.0000 0.0000 0.5000  6 As 2.91-2.92
As: 0.1647 0.1647 0.0885  3 Y 2.91, 3 Th 2.97-2.98
As: 0.1648 0.1648 0.5771  1 Pa 2.91, 3 Y 2.91-2.95, 2 Th 2.98
As: 0.4977 0.4977 0.7447  2 Pa 2.92, 3 Y 2.93-2.97, 1 Th 2.99
As: 0.5023 0.5023 0.2553  2 Pa 2.92, 3 Y 2.93-2.97, 1 Th 2.99
As: 0.8352 0.8352 0.4229  1 Pa 2.91, 3 Y 2.91-2.95, 2 Th 2.98
As: 0.8353 0.8353 0.9115  3 Y 2.91, 3 Th 2.97-2.98

=====

For the records above, the corresponding energy of formation from the pure elements values read -1104.4, -1133.6, -1046.5, -1413.7 meV per atom.
For the records above, the corresponding final energy values read -95.77, -63.29, -64.67, -88.59 eV per formula unit.